(1)
Density functional theory data (GGA-PBE) for crystalline Dy6Sb2TeAs3 at its relaxed geometry.

Cell: 9.512 9.512 8.536 Å, 103.57 103.57 25.68°
Sites, in units of the cell vectors:
Dy (0.004, 0.004, 0.233)
Dy (0.327, 0.327, 0.425)
Dy (0.337, 0.337, 0.907)
Dy (0.663, 0.663, 0.093)
Dy (0.673, 0.673, 0.575)
Dy (0.996, 0.996, 0.767)
Sb (0.166, 0.166, 0.832)
Sb (0.834, 0.834, 0.168)
Te (0.500, 0.500, 0.500)
As (0.166, 0.166, 0.334)
As (0.500, 0.500, 0.000)
As (0.834, 0.834, 0.666)

Calculated values
Formation energy from raw total energies, eV per atom: -1.391
Volume, Å³/cell: 324.8
Density of states at the Fermi level, states/eV/f.u.: 2.2


(2)
Density functional theory data (GGA-PBE) for crystalline Er3Mg7Tl2 at its relaxed geometry.

Cell: 10.242 10.242 10.242 Å, 34.28 34.28 34.28°
Sites, in units of the cell vectors:
Er (0.000, 0.000, 0.000)
Er (0.145, 0.145, 0.145)
Er (0.855, 0.855, 0.855)
Mg (0.079, 0.588, 0.588)
Mg (0.412, 0.412, 0.921)
Mg (0.412, 0.921, 0.412)
Mg (0.500, 0.500, 0.500)
Mg (0.588, 0.079, 0.588)
Mg (0.588, 0.588, 0.079)
Mg (0.921, 0.412, 0.412)
Tl (0.334, 0.334, 0.334)
Tl (0.666, 0.666, 0.666)

Calculated values
Formation energy, eV/atom: -0.07
Volume, Å³/cell: 303.9
Density of states at the Fermi level, states/eV/f.u.: 9.2


(3)
Density functional theory data (GGA-PBE) for crystalline Ho8Tl2In at its relaxed geometry.

Cell: 8.609 8.609 5.513 Å, 101.66 101.66 118.42°
Sites, in units of the cell vectors:
Ho (0.098, 0.327, 0.617)
Ho (0.216, 0.784, 0.000)
Ho (0.327, 0.098, 0.617)
Ho (0.398, 0.398, 0.200)
Ho (0.602, 0.602, 0.800)
Ho (0.673, 0.902, 0.383)
Ho (0.784, 0.216, 0.000)
Ho (0.902, 0.673, 0.383)
Tl (0.304, 0.696, 0.500)
Tl (0.696, 0.304, 0.500)
In (0.000, 0.000, 0.000)

Calculated values
Formation energy, eV/atom: -0.10
ΔE to the lowest computed polymorph, eV per formula unit: 1.28
Volume, Å³/cell: 330.1
Density of states at the Fermi level, states/eV/f.u.: 13.4


(4)
Density functional theory data (GGA-PBE) for crystalline MgRuPb2O6 at its relaxed geometry.

Cell: 5.634 5.680 9.758 Å, 90.00 125.26 90.00°
Sites, in units of the cell vectors:
Mg (0.000, 0.000, 0.000)
Mg (0.000, 0.500, 0.500)
Ru (0.500, 0.000, 0.500)
Ru (0.500, 0.500, 0.000)
Pb (0.256, 0.035, 0.748)
Pb (0.256, 0.465, 0.248)
Pb (0.744, 0.535, 0.752)
Pb (0.744, 0.965, 0.252)
O (0.182, 0.022, 0.260)
O (0.182, 0.478, 0.760)
O (0.264, 0.705, 0.039)
O (0.264, 0.795, 0.539)
O (0.341, 0.224, 0.043)
O (0.341, 0.276, 0.543)
O (0.659, 0.724, 0.457)
O (0.659, 0.776, 0.957)
O (0.736, 0.205, 0.461)
O (0.736, 0.295, 0.961)
O (0.818, 0.522, 0.240)
O (0.818, 0.978, 0.740)

Calculated values
Formation energy from raw total energies, eV per atom: -1.336
Volume, Å³/cell: 255.0
Density of states at the Fermi level, states/eV/f.u.: 3.1